Record 1
Here is a relaxed structure of KRb3Al from the Alexandria database. Energies are from GGA-PBE.

Values from the calculation:
excess energy over the best structure of this formula in the dataset: 0.385 eV per atom
total energy: -0.86 eV per atom
ΔE_f: 0.68 eV per atom
SG: Pm-3m, No. 221

abc: 7.611 7.611 7.611
angles: 90.00 90.00 90.00
Sites, in units of the cell vectors:
K 0.000 0.000 0.000
Rb 0.000 0.000 0.500
Rb 0.000 0.500 0.000
Rb 0.500 0.000 0.000
Al 0.500 0.500 0.500

***

Record 2
Here is a relaxed structure of K2RbAl from the Alexandria database. Energies are from GGA-PBE.

Values from the calculation:
total energy: -1.20 eV per atom
ΔE_f: 0.52 eV per atom
SG: R-3m, No. 166

abc: 15.572 15.572 15.572
angles: 15.45 15.45 15.45
Sites, in units of the cell vectors:
K 0.075 0.075 0.075
K 0.925 0.925 0.925
Rb 0.500 0.500 0.500
Al 0.000 0.000 0.000

***

Record 3
Here is a relaxed structure of K2RbAl from the Alexandria database. Energies are from GGA-PBE.

Values from the calculation:
total energy: -1.32 eV per atom
ΔE_f: 0.40 eV per atom
SG: I-42d, No. 122

abc: 14.058 14.058 14.058
angles: 156.85 156.85 32.96
Sites, in units of the cell vectors:
K 0.092 0.625 0.967
K 0.375 0.342 0.467
K 0.658 0.125 0.033
K 0.875 0.908 0.533
Rb 0.250 0.750 0.500
Rb 0.500 0.500 0.000
Al 0.000 0.000 0.000
Al 0.750 0.250 0.500

***

Record 4
Here is a relaxed structure of K3RbAl from the Alexandria database. Energies are from GGA-PBE.

Values from the calculation:
excess energy over the best structure of this formula in the dataset: 0.000 eV per atom
total energy: -1.34 eV per atom
ΔE_f: 0.26 eV per atom
SG: Pm-3m, No. 221

abc: 6.908 6.908 6.908
angles: 90.00 90.00 90.00
Sites, in units of the cell vectors:
K 0.000 0.000 0.500
K 0.000 0.500 0.000
K 0.500 0.000 0.000
Rb 0.500 0.500 0.500
Al 0.000 0.000 0.000

***

Record 5
Here is a relaxed structure of KRbAl2 from the Alexandria database. Energies are from GGA-PBE.

Values from the calculation:
excess energy over the best structure of this formula in the dataset: 0.000 eV per atom
total energy: -1.77 eV per atom
ΔE_f: 0.62 eV per atom
SG: Fm-3m, No. 225

abc: 5.961 5.961 5.961
angles: 60.00 60.00 60.00
Sites, in units of the cell vectors:
K 0.000 0.000 0.000
Rb 0.500 0.500 0.500
Al 0.250 0.250 0.250
Al 0.750 0.750 0.750

***

Record 6
Here is a relaxed structure of KRbAl2 from the Alexandria database. Energies are from GGA-PBE.

Values from the calculation:
excess energy over the best structure of this formula in the dataset: 0.014 eV per atom
total energy: -1.75 eV per atom
ΔE_f: 0.63 eV per atom
SG: I-42d, No. 122

abc: 7.669 7.669 7.669
angles: 99.39 99.39 132.36
Sites, in units of the cell vectors:
K 0.000 0.000 0.000
K 0.750 0.250 0.500
Rb 0.250 0.750 0.500
Rb 0.500 0.500 0.000
Al 0.117 0.625 0.992
Al 0.375 0.367 0.492
Al 0.633 0.125 0.008
Al 0.875 0.883 0.508